! Mg4ScCo | the Alexandria database | PBE | relaxed; values from VASP
&SYSTEM
  ibrav = 0, nat = 6, ntyp = 3
/
ATOMIC_SPECIES
Mg 24.30 Mg.upf
Sc 44.96 Sc.upf
Co 58.93 Co.upf
CELL_PARAMETERS angstrom
0.0000 3.9255 3.9255
3.9255 0.0000 3.9255
3.9255 3.9255 0.0000
ATOMIC_POSITIONS crystal
Mg 0.3757 0.3757 0.3757
Mg 0.3757 0.3757 0.8730
Mg 0.3757 0.8730 0.3757
Mg 0.8730 0.3757 0.3757
Sc 0.0000 0.0000 0.0000
Co 0.7500 0.7500 0.7500
! energy relative to the elements	0.3091	eV/atom
! E	-17.96	eV/f.u.
! volume	20.164	Å³ per atom
! SG	F-43m (216)